# NiPd3Pt GGA-PBE optimized geometry
# - Calculated formation energy: 0.082 eV per atom
# - Electronic total energy: -0.397 Ry/atom
data_NiPd3Pt
_cell_length_a 6.719
_cell_length_b 6.719
_cell_length_c 6.719
_cell_angle_alpha 156.85
_cell_angle_beta 141.28
_cell_angle_gamma 45.59
_symmetry_space_group_name_H-M 'P 1'
_symmetry_Int_Tables_number 1
loop_
_symmetry_equiv_pos_as_xyz
'x,y,z'
loop_
_atom_site_label
_atom_site_fract_x
_atom_site_fract_y
_atom_site_fract_z
Ni1 0.000 0.000 0.000
Pd1 0.197 0.197 0.000
Pd2 0.400 0.900 0.500
Pd3 0.814 0.314 0.500
Pt1 0.598 0.598 0.000